## VWN2 (PBE-GGA)

Data for VWN2 after structural relaxation.

Values from the calculation:
volume = 9.1 Å³ per atom
calculated total energy = -154.75 eV per cell
formation energy from raw total energies = 9 meV per atom

a b c (Å): 5.2699 5.2699 5.2699
angles (deg): 90.00 90.00 90.00
With the nearest neighbours (Å) after each atom.
Space group Fm-3m (No. 225)
Asymmetric unit:
V: 0.0000 0.0000 0.0000 [4 per cell]  8 N 2.28
W: 0.0000 0.0000 0.5000 [4 per cell]  8 N 2.28
N: 0.2500 0.2500 0.2500 [8 per cell]  4 W 2.28, 4 V 2.28